(1)
Entry from Alexandria via LeMat-Bulk: a relaxed structure of Hf2Zn2Bi (GGA-PBEsol).

E_form = 10 kJ per mole of atoms

abc: 3.6463 3.6463 15.2401
angles: 90.00 90.00 90.00
Space group I4/mmm (No. 139)
Asymmetric unit:
Hf1 0.0000 0.0000 0.1062
Zn1 0.0000 0.5000 0.2500
Bi1 0.0000 0.0000 0.5000

(2)
Entry from Alexandria via LeMat-Bulk: a relaxed structure of Hf3ZnBi (GGA-PBEsol).

E_form = 41 kJ per mole of atoms

abc: 4.8922 4.8922 4.8922
angles: 90.00 90.00 90.00
Space group Pm-3m (No. 221)
Asymmetric unit:
Hf1 0.0000 0.0000 0.5000
Zn1 0.0000 0.0000 0.0000
Bi1 0.5000 0.5000 0.5000

(3)
Entry from Alexandria via LeMat-Bulk: a relaxed structure of HfZr3Bi (GGA-PBEsol).

E_form = 108 kJ per mole of atoms

abc: 5.2798 5.2798 5.2798
angles: 90.00 90.00 90.00
Space group Pm-3m (No. 221)
Asymmetric unit:
Hf1 0.0000 0.0000 0.0000
Zr1 0.0000 0.5000 0.5000
Bi1 0.5000 0.5000 0.5000

(4)
Entry from Alexandria via LeMat-Bulk: a relaxed structure of HgBi3I (GGA-PBEsol).

Formation energy from raw total energies = 593 meV per atom

abc: 5.6728 5.6728 5.6728
angles: 90.00 90.00 90.00
Space group Pm-3m (No. 221)
Asymmetric unit:
Hg1 0.0000 0.0000 0.0000
Bi1 0.0000 0.0000 0.5000
I1 0.5000 0.5000 0.5000

Repeat the second record exactly.
Entry from Alexandria via LeMat-Bulk: a relaxed structure of Hf3ZnBi (GGA-PBEsol).

E_form = 41 kJ per mole of atoms

abc: 4.8922 4.8922 4.8922
angles: 90.00 90.00 90.00
Space group Pm-3m (No. 221)
Asymmetric unit:
Hf1 0.0000 0.0000 0.5000
Zn1 0.0000 0.0000 0.0000
Bi1 0.5000 0.5000 0.5000